(a)
TaCd2Pt at its PBEsol-relaxed geometry. Source: the Alexandria database, functional meta-GGA SCAN.

a b c (Å): 2.9112 2.9112 29.2834
angles (deg): 90.00 90.00 120.00
Space group R3m (No. 160, hexagonal axes)
Unique sites:
1 Ta 0.0000 0.0000 0.0000 (multiplicity 3)
2 Cd 0.0000 0.0000 0.5114 (multiplicity 3)
3 Cd 0.0000 0.0000 0.7537 (multiplicity 3)
4 Pt 0.0000 0.0000 0.2604 (multiplicity 3)

(b)
TaCd2Pt at its PBEsol-relaxed geometry. Source: the Alexandria database, functional meta-GGA SCAN.

a b c (Å): 2.9280 2.9280 28.5576
angles (deg): 90.00 90.00 120.00
Space group R-3m (No. 166, hexagonal axes)
Unique sites:
1 Ta 0.0000 0.0000 0.0000 (multiplicity 3)
2 Cd 0.0000 0.0000 0.2458 (multiplicity 6)
3 Pt 0.0000 0.0000 0.5000 (multiplicity 3)

(c)
TaCd2Pt at its PBEsol-relaxed geometry. Source: the Alexandria database, functional meta-GGA SCAN.

a b c (Å): 3.3598 4.7670 9.0002
angles (deg): 90.00 90.00 90.00
Space group Imm2 (No. 44)
Unique sites:
1 Ta 0.0000 0.0000 0.0000 (multiplicity 2)
2 Cd 0.0000 0.0000 0.5277 (multiplicity 2)
3 Cd 0.0000 0.5000 0.7676 (multiplicity 2)
4 Pt 0.0000 0.5000 0.2792 (multiplicity 2)

Least stable structure: (b)

(a)
CdRe3 at its PBEsol-relaxed geometry. Source: the Alexandria database, functional meta-GGA SCAN.

a b c (Å): 2.7860 2.7860 9.2561
angles (deg): 90.00 90.00 120.00
Space group P-6m2 (No. 187)
Unique sites:
1 Cd 0.0000 0.0000 0.0000 (multiplicity 1)
2 Re 0.0000 0.0000 0.5000 (multiplicity 1)
3 Re 0.6667 0.3333 0.2678 (multiplicity 2)

(b)
CdRe3 at its PBEsol-relaxed geometry. Source: the Alexandria database, functional meta-GGA SCAN.

a b c (Å): 4.8095 4.8095 4.8095
angles (deg): 90.00 90.00 90.00
Space group Pm-3m (No. 221)
Unique sites:
1 Cd 0.0000 0.0000 0.0000 (multiplicity 1)
2 Re 0.0000 0.0000 0.5000 (multiplicity 3)

Least stable structure: (b)

(a)
Cd2ReRh at its PBEsol-relaxed geometry. Source: the Alexandria database, functional meta-GGA SCAN.

a b c (Å): 2.8287 2.8287 8.2605
angles (deg): 90.00 90.00 90.00
Space group P4mm (No. 99)
Unique sites:
1 Cd 0.0000 0.0000 0.0000 (multiplicity 1)
2 Cd 0.5000 0.5000 0.2939 (multiplicity 1)
3 Re 0.0000 0.0000 0.5523 (multiplicity 1)
4 Rh 0.5000 0.5000 0.7511 (multiplicity 1)

(b)
Cd2ReRh at its PBEsol-relaxed geometry. Source: the Alexandria database, functional meta-GGA SCAN.

a b c (Å): 2.7538 2.7538 8.5636
angles (deg): 90.00 90.00 90.00
Space group P4/mmm (No. 123)
Unique sites:
1 Cd 0.0000 0.0000 0.2381 (multiplicity 2)
2 Re 0.5000 0.5000 0.5000 (multiplicity 1)
3 Rh 0.5000 0.5000 0.0000 (multiplicity 1)

Least stable structure: (b)

(a)
CdRe2Sb at its PBEsol-relaxed geometry. Source: the Alexandria database, functional meta-GGA SCAN.

a b c (Å): 6.5280 6.5280 6.5280
angles (deg): 90.00 90.00 90.00
Space group F-43m (No. 216)
Unique sites:
1 Cd 0.0000 0.0000 0.0000 (multiplicity 4)
2 Re 0.0000 0.0000 0.5000 (multiplicity 4)
3 Re 0.2500 0.2500 0.7500 (multiplicity 4)
4 Sb 0.2500 0.2500 0.2500 (multiplicity 4)

(b)
CdRe2Sb at its PBEsol-relaxed geometry. Source: the Alexandria database, functional meta-GGA SCAN.

a b c (Å): 2.9893 2.9992 8.5736
angles (deg): 90.00 99.95 90.00
Space group Pm (No. 6)
Unique sites:
1 Cd 0.0000 0.0000 0.0000 (multiplicity 1)
2 Re 0.2067 0.0000 0.4161 (multiplicity 1)
3 Re 0.6182 0.5000 0.2374 (multiplicity 1)
4 Sb 0.8221 0.5000 0.6486 (multiplicity 1)

Least stable structure: (a)

(a)
ScCd2Re at its PBEsol-relaxed geometry. Source: the Alexandria database, functional meta-GGA SCAN.

a b c (Å): 2.8623 4.2326 5.9980
angles (deg): 90.00 90.00 90.00
Space group Pmm2 (No. 25)
Unique sites:
1 Sc 0.0000 0.0000 0.0000 (multiplicity 1)
2 Cd 0.0000 0.0000 0.5262 (multiplicity 1)
3 Cd 0.5000 0.5000 0.2793 (multiplicity 1)
4 Re 0.5000 0.5000 0.7853 (multiplicity 1)

(b)
ScCd2Re at its PBEsol-relaxed geometry. Source: the Alexandria database, functional meta-GGA SCAN.

a b c (Å): 6.6060 6.6060 6.6060
angles (deg): 90.00 90.00 90.00
Space group Fm-3m (No. 225)
Unique sites:
1 Sc 0.0000 0.0000 0.0000 (multiplicity 4)
2 Cd 0.2500 0.2500 0.2500 (multiplicity 8)
3 Re 0.0000 0.0000 0.5000 (multiplicity 4)

Least stable structure: (b)

(a)
CdReSe at its PBEsol-relaxed geometry. Source: the Alexandria database, functional meta-GGA SCAN.

a b c (Å): 6.1595 6.1595 6.1595
angles (deg): 90.00 90.00 90.00
Space group F-43m (No. 216)
Unique sites:
1 Cd 0.0000 0.0000 0.0000 (multiplicity 4)
2 Re 0.2500 0.2500 0.2500 (multiplicity 4)
3 Se 0.0000 0.0000 0.5000 (multiplicity 4)

(b)
CdReSe at its PBEsol-relaxed geometry. Source: the Alexandria database, functional meta-GGA SCAN.

a b c (Å): 4.6808 4.6808 2.7113
angles (deg): 90.00 90.00 120.00
Space group P-6m2 (No. 187)
Unique sites:
1 Cd 0.0000 0.0000 0.0000 (multiplicity 1)
2 Re 0.3333 0.6667 0.5000 (multiplicity 1)
3 Se 0.6667 0.3333 0.5000 (multiplicity 1)

Least stable structure: (a)

(a)
Cd2ReSe at its PBEsol-relaxed geometry. Source: the Alexandria database, functional meta-GGA SCAN.

a b c (Å): 2.7592 4.5195 5.8476
angles (deg): 90.00 90.00 90.00
Space group Pmmm (No. 47)
Unique sites:
1 Cd 0.0000 0.0000 0.2323 (multiplicity 2)
2 Re 0.5000 0.5000 0.0000 (multiplicity 1)
3 Se 0.5000 0.5000 0.5000 (multiplicity 1)

(b)
Cd2ReSe at its PBEsol-relaxed geometry. Source: the Alexandria database, functional meta-GGA SCAN.

a b c (Å): 4.1214 3.4162 10.6471
angles (deg): 90.00 90.00 90.00
Space group Amm2 (No. 38)
Unique sites:
1 Cd 0.0000 0.0000 0.0000 (multiplicity 2)
2 Cd 0.5000 0.0000 0.3414 (multiplicity 2)
3 Re 0.0000 0.0000 0.7355 (multiplicity 2)
4 Se 0.5000 0.0000 0.6148 (multiplicity 2)

(c)
Cd2ReSe at its PBEsol-relaxed geometry. Source: the Alexandria database, functional meta-GGA SCAN.

a b c (Å): 3.2169 4.5204 10.1839
angles (deg): 90.00 90.00 90.00
Space group Cmmm (No. 65)
Unique sites:
1 Cd 0.0000 0.0000 0.2290 (multiplicity 4)
2 Re 0.0000 0.5000 0.0000 (multiplicity 2)
3 Se 0.0000 0.5000 0.5000 (multiplicity 2)

Least stable structure: (a)

(a)
TaCd2Re at its PBEsol-relaxed geometry. Source: the Alexandria database, functional meta-GGA SCAN.

a b c (Å): 3.4051 4.2969 4.7406
angles (deg): 90.00 90.00 90.00
Space group Pmmm (No. 47)
Unique sites:
1 Ta 0.0000 0.0000 0.0000 (multiplicity 1)
2 Cd 0.0000 0.5000 0.5000 (multiplicity 1)
3 Cd 0.5000 0.0000 0.5000 (multiplicity 1)
4 Re 0.5000 0.5000 0.0000 (multiplicity 1)

(b)
TaCd2Re at its PBEsol-relaxed geometry. Source: the Alexandria database, functional meta-GGA SCAN.

a b c (Å): 5.4914 9.5894 2.7459
angles (deg): 90.00 106.19 90.00
Space group C2/m (No. 12)
Unique sites:
1 Ta 0.0000 0.0000 0.0000 (multiplicity 2)
2 Cd 0.2500 0.2500 0.5000 (multiplicity 4)
3 Re 0.0000 0.5000 0.0000 (multiplicity 2)

Least stable structure: (b)

(a)
TlCdRe2 at its PBEsol-relaxed geometry. Source: the Alexandria database, functional meta-GGA SCAN.

a b c (Å): 6.4695 6.4695 6.4695
angles (deg): 90.00 90.00 90.00
Space group Fm-3m (No. 225)
Unique sites:
1 Tl 0.0000 0.0000 0.0000 (multiplicity 4)
2 Cd 0.0000 0.0000 0.5000 (multiplicity 4)
3 Re 0.2500 0.2500 0.2500 (multiplicity 8)

(b)
TlCdRe2 at its PBEsol-relaxed geometry. Source: the Alexandria database, functional meta-GGA SCAN.

a b c (Å): 2.9327 4.8558 4.8604
angles (deg): 90.00 90.00 90.00
Space group Pmmm (No. 47)
Unique sites:
1 Tl 0.0000 0.0000 0.0000 (multiplicity 1)
2 Cd 0.5000 0.5000 0.0000 (multiplicity 1)
3 Re 0.0000 0.5000 0.5000 (multiplicity 1)
4 Re 0.5000 0.0000 0.5000 (multiplicity 1)

Least stable structure: (a)

(a)
Cd5Rh at its PBEsol-relaxed geometry. Source: the Alexandria database, functional meta-GGA SCAN.

a b c (Å): 3.1001 3.1001 11.9139
angles (deg): 90.00 90.00 90.00
Space group P4/mmm (No. 123)
Unique sites:
1 Cd 0.0000 0.0000 0.0000 (multiplicity 1)
2 Cd 0.0000 0.0000 0.3603 (multiplicity 2)
3 Cd 0.5000 0.5000 0.1794 (multiplicity 2)
4 Rh 0.5000 0.5000 0.5000 (multiplicity 1)

(b)
Cd5Rh at its PBEsol-relaxed geometry. Source: the Alexandria database, functional meta-GGA SCAN.

a b c (Å): 4.1977 12.8381 4.0932
angles (deg): 90.00 90.00 90.00
Space group Cmmm (No. 65)
Unique sites:
1 Cd 0.0000 0.0000 0.0000 (multiplicity 2)
2 Cd 0.0000 0.1600 0.5000 (multiplicity 4)
3 Cd 0.0000 0.3400 0.0000 (multiplicity 4)
4 Rh 0.0000 0.5000 0.5000 (multiplicity 2)

(c)
Cd5Rh at its PBEsol-relaxed geometry. Source: the Alexandria database, functional meta-GGA SCAN.

a b c (Å): 10.9792 3.0263 7.0187
angles (deg): 90.00 106.48 90.00
Space group Cm (No. 8)
Unique sites:
1 Cd 0.0000 0.0000 0.0000 (multiplicity 2)
2 Cd 0.0394 0.0000 0.6160 (multiplicity 2)
3 Cd 0.1610 0.5000 0.3365 (multiplicity 2)
4 Cd 0.3110 0.0000 0.6973 (multiplicity 2)
5 Cd 0.3697 0.0000 0.2512 (multiplicity 2)
6 Rh 0.2063 0.5000 0.9496 (multiplicity 2)

(d)
Cd5Rh at its PBEsol-relaxed geometry. Source: the Alexandria database, functional meta-GGA SCAN.

a b c (Å): 5.2067 5.2067 4.6937
angles (deg): 90.00 90.00 120.00
Space group P-62m (No. 189)
Unique sites:
1 Cd 0.0000 0.6793 0.0000 (multiplicity 3)
2 Cd 0.3333 0.6667 0.5000 (multiplicity 2)
3 Rh 0.0000 0.0000 0.5000 (multiplicity 1)

Least stable structure: (a)

(a)
Tl2CdRh at its PBEsol-relaxed geometry. Source: the Alexandria database, functional meta-GGA SCAN.

a b c (Å): 3.0511 4.5379 13.2505
angles (deg): 90.00 90.00 90.00
Space group Immm (No. 71)
Unique sites:
1 Tl 0.0000 0.0000 0.1772 (multiplicity 4)
2 Cd 0.0000 0.5000 0.0000 (multiplicity 2)
3 Rh 0.0000 0.5000 0.5000 (multiplicity 2)

(b)
Tl2CdRh at its PBEsol-relaxed geometry. Source: the Alexandria database, functional meta-GGA SCAN.

a b c (Å): 3.0368 4.5487 12.7590
angles (deg): 90.00 90.00 90.00
Space group Imm2 (No. 44)
Unique sites:
1 Tl 0.0000 0.0000 0.0000 (multiplicity 2)
2 Tl 0.0000 0.5000 0.1957 (multiplicity 2)
3 Cd 0.0000 0.5000 0.8195 (multiplicity 2)
4 Rh 0.0000 0.0000 0.5024 (multiplicity 2)

Least stable structure: (b)

(a)
TlCdRh at its PBEsol-relaxed geometry. Source: the Alexandria database, functional meta-GGA SCAN.

a b c (Å): 3.0932 3.0932 12.0068
angles (deg): 90.00 90.00 90.00
Space group I4mm (No. 107)
Unique sites:
1 Tl 0.0000 0.0000 0.0000 (multiplicity 2)
2 Cd 0.0000 0.0000 0.7094 (multiplicity 2)
3 Rh 0.0000 0.0000 0.3516 (multiplicity 2)

(b)
TlCdRh at its PBEsol-relaxed geometry. Source: the Alexandria database, functional meta-GGA SCAN.

a b c (Å): 4.5442 4.5442 3.1199
angles (deg): 90.00 90.00 120.00
Space group P3m1 (No. 156)
Unique sites:
1 Tl 0.0000 0.0000 0.0000 (multiplicity 1)
2 Cd 0.6667 0.3333 0.3988 (multiplicity 1)
3 Rh 0.3333 0.6667 0.7900 (multiplicity 1)

Least stable structure: (b)